Material: La2Pm3ThTe6
Method: DFT, PBE
State: relaxed

## Properties
N(E_F) ... 0.714 states/eV/atom
Raw formation energy ... -1399 meV per atom

a b c (Å): 19.6146 4.5007 9.0191
angles (deg): 90.00 103.27 90.00
Space group C2/m (No. 12)
Asymmetric unit:
La  0.1643  0.0000  0.3304
Pm  0.0000  0.5000  0.5000
Pm  0.1672  0.0000  0.8360
Th  0.0000  0.5000  0.0000
Te  0.0032  0.0000  0.7495
Te  0.1663  0.5000  0.5881
Te  0.1671  0.5000  0.0789

=====

Material: La3Pm2ThTe6
Method: DFT, PBE
State: relaxed

## Properties
N(E_F) ... 0.730 states/eV/atom
Raw formation energy ... -1433 meV per atom

a b c (Å): 19.6594 4.5228 9.0518
angles (deg): 90.00 102.70 90.00
Space group C2/m (No. 12)
Asymmetric unit:
La  0.0000  0.0000  0.0000
La  0.1654  0.5000  0.3334
Pm  0.1655  0.5000  0.8311
Th  0.0000  0.0000  0.5000
Te  0.0019  0.5000  0.7484
Te  0.1664  0.0000  0.5880
Te  0.1691  0.0000  0.0791

=====

Material: LaPm2Tl3Te6
Method: DFT, PBE
State: relaxed

## Properties
Raw formation energy ... -1102 meV per atom

a b c (Å): 7.9429 13.7535 8.5845
angles (deg): 90.00 107.96 90.00
Space group C2/m (No. 12)
Asymmetric unit:
La  0.0000  0.0000  0.0000
Pm  0.0000  0.3332  0.0000
Tl  0.0000  0.1657  0.5000
Tl  0.0000  0.5000  0.5000
Te  0.2345  0.5000  0.2191
Te  0.2428  0.1693  0.2203

=====

Material: LaPm2Tm3Te6
Method: DFT, PBE
State: relaxed

## Properties
N(E_F) ... 0.486 states/eV/atom
Raw formation energy ... -1328 meV per atom

a b c (Å): 19.3912 4.3383 8.9524
angles (deg): 90.00 105.78 90.00
Space group C2/m (No. 12)
Asymmetric unit:
La  0.0000  0.0000  0.0000
Pm  0.1678  0.5000  0.3358
Tm  0.0000  0.0000  0.5000
Tm  0.1652  0.5000  0.8330
Te  0.0021  0.5000  0.7365
Te  0.1631  0.0000  0.5926
Te  0.1724  0.0000  0.0773